Below is an optimized crystal structure of LiFeAs2O6, with properties calculated at the GGA+U level.

Calculated values
The calculation puts the total energy at -5.9948 eV per atom. For the magnetic moment, the calculation gives 7.88 Bohr magnetons per cell. Its space group is C2/c (15).

```
20
Lattice="5.019 -4.681 0.000 5.019 4.681 0.000 -2.196 0.000 5.514" Properties=species:S:1:pos:R:3 pbc="T T T"
Li 3.372 2.518 4.136
Li 4.470 -2.518 1.379
Fe 4.470 3.777 1.379
Fe 3.372 -3.777 4.136
As 2.445 0.859 1.491
As 1.347 -0.859 4.248
As 6.495 0.859 1.266
As 5.397 -0.859 4.023
O 0.820 0.804 0.829
O 2.932 2.428 2.015
O -0.278 -0.804 3.586
O 3.585 0.233 0.184
O 6.008 2.428 0.742
O 2.487 -0.233 2.941
O 5.355 0.233 2.573
O 1.834 -2.428 4.772
O 4.257 -0.233 5.330
O 8.120 0.804 1.928
O 4.910 -2.428 3.500
O 7.022 -0.804 4.686
```